one | VASP calculation (GGA-PBE) on an optimized crystal structure of PuNi6Ge4.

The structure in POSCAR format:
```
PuNi6Ge4
1.0
6.114 -0.031 -0.045
-2.854 5.407 0.045
-2.854 -1.946 5.045
Pu Ni Ge
1 6 4
Cartesian
0.000 0.000 0.000
-3.429 3.201 2.295
-3.429 0.957 3.821
2.841 0.832 1.224
1.630 -0.988 2.500
-1.284 1.900 2.795
1.630 2.688 0.000
-1.844 -0.388 2.669
0.915 1.616 2.376
-1.844 2.624 0.621
-2.528 3.039 4.469
```

Computed properties:
Density ... 8.87 Mg/m³
Calculated volume ... 15.1 A^3/atom

two | VASP calculation (GGA-PBE) on an optimized crystal structure of PuNi6Ge4.

The structure in POSCAR format:
```
PuNi6Ge4
1.0
-0.545 0.002 3.727
-6.648 1.391 -0.973
2.132 -6.514 0.316
Pu Ni Ge
1 6 4
Cartesian
0.000 0.000 0.000
-3.412 0.268 -0.499
-2.488 -4.353 1.542
-2.581 -2.271 -0.376
-5.172 -1.729 -0.755
0.050 -4.884 1.914
-0.764 -2.397 1.793
-4.332 -2.892 1.272
-2.412 -0.714 1.551
-5.238 -0.123 1.137
-0.795 -3.879 -0.114
```

Computed properties:
Density ... 9.59 Mg/m³
Calculated volume ... 14.0 A^3/atom

Short version: two is the most stable of them.

one | VASP calculation (GGA-PBE) on an optimized crystal structure of Pu3NiGe2.

The structure in POSCAR format:
```
Pu3NiGe2
1.0
6.165 0.000 0.000
0.000 6.123 0.000
-3.083 -3.062 6.406
Pu Ni Ge
6 2 4
Cartesian
1.752 3.062 1.839
1.330 0.000 4.567
-1.330 3.062 4.567
4.413 0.000 1.839
3.083 4.592 0.000
3.083 1.531 0.000
0.000 1.531 0.000
0.000 4.592 0.000
1.243 0.000 1.592
1.839 3.062 4.814
-1.839 0.000 4.814
4.922 3.062 1.592
```

Computed properties:
Density ... 12.85 Mg/m³
Calculated volume ... 20.2 A^3/atom

two | VASP calculation (GGA-PBE) on an optimized crystal structure of Pu3NiGe2.

The structure in POSCAR format:
```
Pu3NiGe2
1.0
-3.006 0.739 2.861
-7.156 -1.830 -7.047
0.008 -11.457 2.967
Pu Ni Ge
12 4 8
Cartesian
-3.665 -1.113 -2.011
-6.489 -11.436 0.792
-8.743 -6.282 -2.907
-1.411 -6.266 1.687
-6.019 -3.852 -3.778
-4.135 -8.696 2.558
-3.944 -2.918 1.267
-6.210 -9.630 -2.486
-3.899 -4.904 -1.279
-6.254 -7.644 0.059
-8.982 -2.612 -4.107
-1.171 -9.936 2.887
-1.801 -1.410 0.024
-8.353 -11.138 -1.244
-6.880 -5.032 -1.272
-3.274 -7.516 0.053
-5.800 -6.704 -2.812
-4.353 -5.845 1.592
-3.730 0.044 0.727
-6.424 -12.592 -1.947
-0.937 -3.260 1.410
-9.217 -9.288 -2.630
-6.018 -2.740 -0.959
-4.135 -9.808 -0.261
```

Computed properties:
Density ... 12.21 Mg/m³
Calculated volume ... 21.2 A^3/atom

Short version: two is the most stable of them.

one | VASP calculation (GGA-PBE) on an optimized crystal structure of PuNi6Ge2.

The structure in POSCAR format:
```
PuNi6Ge2
1.0
-0.420 1.660 3.846
0.070 -4.933 2.900
5.435 -0.688 1.653
Pu Ni Ge
1 6 2
Cartesian
-0.420 1.660 3.846
2.280 -0.355 1.953
2.805 -3.606 6.446
4.645 -2.150 6.018
1.291 -2.971 4.490
3.794 -0.990 3.909
0.440 -1.810 2.381
3.580 -3.333 4.060
1.505 -0.628 4.339
```

Computed properties:
Density ... 9.36 Mg/m³
Calculated volume ... 14.6 A^3/atom

two | VASP calculation (GGA-PBE) on an optimized crystal structure of PuNi6Ge2.

The structure in POSCAR format:
```
PuNi6Ge2
1.0
2.756 0.000 0.000
1.378 7.050 1.246
1.378 2.613 6.666
Pu Ni Ge
1 6 2
Cartesian
0.000 0.000 0.000
2.756 1.724 4.285
2.756 7.939 3.627
2.756 5.122 7.067
2.756 5.556 3.071
2.756 4.107 4.841
2.756 4.541 0.845
4.133 6.319 5.173
1.378 3.345 2.738
```

Computed properties:
Density ... 10.22 Mg/m³
Calculated volume ... 13.4 A^3/atom

Short version: one is the most stable of them.

one | VASP calculation (GGA-PBE) on an optimized crystal structure of Pu2NiGe3.

The structure in POSCAR format:
```
Pu2NiGe3
1.0
4.003 0.000 0.000
0.000 4.208 0.000
0.000 0.000 7.188
Pu Ni Ge
2 1 3
Cartesian
0.000 2.104 0.054
0.000 0.000 3.591
2.002 2.104 2.323
2.002 0.000 6.023
2.002 0.000 1.324
2.002 2.104 4.655
```

Computed properties:
Density ... 10.49 Mg/m³
Calculated volume ... 20.2 A^3/atom

two | VASP calculation (GGA-PBE) on an optimized crystal structure of Pu2NiGe3.

The structure in POSCAR format:
```
Pu2NiGe3
1.0
3.894 0.000 1.631
1.650 5.327 1.525
-0.065 0.132 5.619
Pu Ni Ge
2 1 3
Cartesian
2.367 1.009 5.277
3.043 4.474 3.663
1.285 2.206 2.395
4.345 3.172 6.018
3.521 1.440 2.521
1.874 4.077 6.453
```

Computed properties:
Density ... 10.88 Mg/m³
Calculated volume ... 19.4 A^3/atom

Short version: two is the most stable of them.

one | VASP calculation (GGA-PBE) on an optimized crystal structure of Pu3Ni2Ge4.

The structure in POSCAR format:
```
Pu3Ni2Ge4
1.0
4.225 0.000 0.000
-2.113 5.374 -0.287
0.000 -2.514 7.785
Pu Ni Ge
3 2 4
Cartesian
2.113 -0.504 5.213
0.000 0.000 0.000
0.000 3.363 2.284
2.113 1.086 2.537
0.000 1.773 4.960
2.113 2.166 0.447
0.000 0.693 7.050
2.113 2.690 4.435
0.000 0.169 3.063
```

Computed properties:
Density ... 10.90 Mg/m³
Calculated volume ... 19.3 A^3/atom

two | VASP calculation (GGA-PBE) on an optimized crystal structure of Pu3Ni2Ge4.

The structure in POSCAR format:
```
Pu3Ni2Ge4
1.0
-0.146 -3.638 2.075
0.723 -0.838 -5.652
7.625 1.172 2.591
Pu Ni Ge
3 2 4
Cartesian
5.163 -1.924 1.222
0.000 0.000 0.000
3.039 -1.381 -2.208
2.171 -2.033 0.821
6.030 -1.272 -1.807
0.773 -2.918 -0.829
7.428 -0.387 -0.157
5.226 -3.445 -1.441
2.975 0.140 0.455
```

Computed properties:
Density ... 10.64 Mg/m³
Calculated volume ... 19.8 A^3/atom

Short version: one is the most stable of them.

one | VASP calculation (GGA-PBE) on an optimized crystal structure of RbNiGe.

The structure in POSCAR format:
```
RbNiGe
1.0
-0.319 1.533 3.930
-4.218 -0.182 -0.271
0.176 -9.780 3.829
Ni Ge Rb
2 2 2
Cartesian
0.088 -4.890 1.915
-2.180 -4.214 3.744
-2.038 -4.009 1.398
-0.054 -5.095 4.260
-1.971 -7.783 2.876
-0.122 -1.321 2.783
```

Computed properties:
Density ... 3.83 Mg/m³
Calculated volume ... 31.3 A^3/atom

two | VASP calculation (GGA-PBE) on an optimized crystal structure of RbNiGe.

The structure in POSCAR format:
```
RbNiGe
1.0
4.317 -0.615 0.145
-0.200 4.353 0.145
0.070 0.064 10.473
Rb Ni Ge
2 2 2
Cartesian
3.326 3.257 6.916
1.352 1.470 2.214
3.291 1.381 9.802
1.458 3.410 9.801
3.606 3.510 10.704
1.142 1.281 8.899
```

Computed properties:
Density ... 3.68 Mg/m³
Calculated volume ... 32.6 A^3/atom

Short version: two is the most stable of them.

one | VASP calculation (GGA-PBE) on an optimized crystal structure of RbNi2Ge2.

The structure in POSCAR format:
```
RbNi2Ge2
1.0
4.250 0.000 0.000
0.000 4.250 0.000
2.125 2.125 6.348
Ni Ge Rb
2 2 1
Cartesian
2.125 2.125 2.129
4.250 4.250 4.220
4.250 2.125 3.174
2.125 4.250 3.174
0.000 0.000 0.000
```

Computed properties:
Density ... 5.04 Mg/m³
Calculated volume ... 22.9 A^3/atom

two | VASP calculation (GGA-PBE) on an optimized crystal structure of RbNi2Ge2.

The structure in POSCAR format:
```
RbNi2Ge2
1.0
-0.899 -1.883 -3.379
-3.129 -1.685 1.772
-6.055 3.661 -2.762
Ni Ge Rb
2 2 1
Cartesian
-4.485 -0.003 -3.472
-5.599 0.096 -0.897
-3.316 -0.030 -1.434
-6.768 0.123 -2.934
0.000 0.000 0.000
```

Computed properties:
Density ... 5.19 Mg/m³
Calculated volume ... 22.3 A^3/atom

Short version: two is the most stable of them.

one | VASP calculation (GGA-PBE) on an optimized crystal structure of ReNiGe2.

The structure in POSCAR format:
```
ReNiGe2
1.0
2.934 0.000 0.000
1.467 2.541 0.000
1.467 0.847 8.551
Re Ge Ni
1 2 1
Cartesian
2.934 1.694 4.275
1.467 0.847 6.259
4.400 2.541 2.292
0.000 0.000 0.000
```

Computed properties:
Density ... 10.17 Mg/m³
Calculated volume ... 15.9 A^3/atom

two | VASP calculation (GGA-PBE) on an optimized crystal structure of ReNiGe2.

The structure in POSCAR format:
```
ReNiGe2
1.0
-4.530 -4.820 -0.072
2.444 -2.212 -5.735
0.725 -5.198 -1.501
Re Ge Ni
2 4 2
Cartesian
0.000 0.000 0.000
-2.424 -6.767 -2.238
-2.229 -4.466 -1.135
1.028 -3.407 -3.970
-0.176 -6.591 -3.449
-1.343 -9.995 -6.061
-1.043 -3.516 -2.903
1.063 -5.463 -5.070
```

Computed properties:
Density ... 10.52 Mg/m³
Calculated volume ... 15.4 A^3/atom

three | VASP calculation (GGA-PBE) on an optimized crystal structure of ReNiGe2.

The structure in POSCAR format:
```
ReNiGe2
1.0
3.318 -2.637 -0.794
0.424 -3.664 2.233
-0.677 -3.794 -1.934
Re Ge Ni
1 2 1
Cartesian
1.533 -5.048 -0.247
0.766 -2.524 -0.124
2.299 -7.572 -0.371
0.000 0.000 0.000
```

Computed properties:
Density ... 11.43 Mg/m³
Calculated volume ... 14.2 A^3/atom

Short version: three is the most stable of them.

one | VASP calculation (GGA-PBE) on an optimized crystal structure of ReNiGe3.

The structure in POSCAR format:
```
ReNiGe3
1.0
-1.872 -2.050 3.557
-2.179 -2.817 -2.771
3.480 -2.867 0.179
Re Ge Ni
1 3 1
Cartesian
-0.286 -3.867 0.482
-1.089 -1.409 -1.385
1.740 -1.434 0.090
-0.936 -1.025 1.778
0.000 0.000 0.000
```

Computed properties:
Density ... 8.36 Mg/m³
Calculated volume ... 18.4 A^3/atom

two | VASP calculation (GGA-PBE) on an optimized crystal structure of ReNiGe3.

The structure in POSCAR format:
```
ReNiGe3
1.0
4.799 0.000 0.000
0.000 4.799 0.000
0.000 0.000 4.799
Re Ge Ni
1 3 1
Cartesian
0.000 0.000 0.000
0.000 2.400 0.000
0.000 0.000 2.400
2.400 0.000 0.000
2.400 2.400 2.400
```

Computed properties:
Density ... 6.95 Mg/m³
Calculated volume ... 22.1 A^3/atom

Short version: two is the most stable of them.

one | VASP calculation (GGA-PBE) on an optimized crystal structure of NiGe2Rh.

The structure in POSCAR format:
```
NiGe2Rh
1.0
-1.937 -1.863 -1.245
-1.444 -1.971 1.674
-7.280 4.289 1.389
Ni Ge Rh
1 2 1
Cartesian
0.000 0.000 0.000
-5.602 2.770 1.049
-5.060 -2.315 0.769
-5.331 0.228 0.909
```

Computed properties:
Density ... 7.99 Mg/m³
Calculated volume ... 15.9 A^3/atom

two | VASP calculation (GGA-PBE) on an optimized crystal structure of NiGe2Rh.

The structure in POSCAR format:
```
NiGe2Rh
1.0
0.000 3.036 3.036
3.036 0.000 3.036
3.036 3.036 0.000
Ni Ge Rh
1 2 1
Cartesian
0.000 0.000 0.000
1.518 1.518 1.518
4.554 4.554 4.554
3.036 3.036 3.036
```

Computed properties:
Density ... 9.10 Mg/m³
Calculated volume ... 14.0 A^3/atom

three | VASP calculation (GGA-PBE) on an optimized crystal structure of NiGe2Rh.

The structure in POSCAR format:
```
NiGe2Rh
1.0
5.526 0.000 0.000
0.000 5.526 0.000
2.763 2.763 5.216
Ni Ge Rh
2 4 2
Cartesian
2.763 2.763 0.000
2.763 5.526 2.608
4.075 1.382 1.304
1.451 4.145 1.304
4.145 4.214 3.912
6.908 6.839 3.912
0.000 0.000 0.000
5.526 2.763 2.608
```

Computed properties:
Density ... 6.40 Mg/m³
Calculated volume ... 19.9 A^3/atom

Short version: two is the most stable of them.

one | VASP calculation (GGA-PBE) on an optimized crystal structure of NiGe2Rh.

The structure in POSCAR format:
```
NiGe2Rh
1.0
-0.839 0.766 -2.792
3.895 -1.107 -1.474
-1.400 -4.018 -0.682
Ni Ge Rh
1 2 1
Cartesian
0.828 -2.179 -2.474
-0.700 -2.009 -0.341
1.947 -0.554 -0.737
-0.419 0.383 -1.396
```

Computed properties:
Density ... 9.10 Mg/m³
Calculated volume ... 14.0 A^3/atom

two | VASP calculation (GGA-PBE) on an optimized crystal structure of NiGe2Rh.

The structure in POSCAR format:
```
NiGe2Rh
1.0
3.792 0.000 0.000
1.896 3.284 0.000
1.896 1.095 4.887
Ni Ge Rh
1 2 1
Cartesian
5.689 3.284 4.732
1.896 1.095 3.842
1.896 1.095 1.107
3.792 2.190 2.537
```

Computed properties:
Density ... 8.37 Mg/m³
Calculated volume ... 15.2 A^3/atom

Short version: two is the most stable of them.